This record from the Alexandria database describes a relaxed BaNa3Nb crystal. The functional is PBE-GGA.

Output
- DOS at the Fermi energy: 0.860 states/eV/atom
- Formation energy from the elements: 0.935 eV/atom
- Energy above the most stable polymorph in this dataset: 0 meV per atom
- Space-group type: Pm-3m, No. 221

a = 6.0152 Å, b = 6.0152 Å, c = 6.0152 Å
α = 90.00°, β = 90.00°, γ = 90.00°
With the nearest neighbours (Å) after each atom.
Fractional coordinates of all 5 atoms:
1 Na 0.0000 0.5000 0.0000  2 Nb 3.01
2 Na 0.0000 0.0000 0.5000  2 Nb 3.01
3 Na 0.5000 0.0000 0.0000  2 Nb 3.01
4 Nb 0.0000 0.0000 0.0000  6 Na 3.01
5 Ba 0.5000 0.5000 0.5000  12 Na 4.25